[1]
A geometry-optimized TlCuIrS3 structure. Source: OQMD, functional PBE-GGA.

Geometry as CIF:
```
data_TlCuIrS3
_chemical_formula_sum 'Tl2 Cu2 Ir2 S6'
_cell_length_a 7.616
_cell_length_b 3.682
_cell_length_c 9.493
_cell_angle_alpha 90.00
_cell_angle_beta 112.35
_cell_angle_gamma 90.00
_symmetry_space_group_name_H-M 'P 1 21/m 1'
_symmetry_Int_Tables_number 11
_symmetry_space_group_name_Hall '-P 2yb'
loop_
_atom_site_label
_atom_site_fract_x
_atom_site_fract_y
_atom_site_fract_z
Tl1 0.231 0.250 0.211
Cu1 0.429 0.250 0.901
Ir1 0.182 0.750 0.650
S1 0.034 0.750 0.382
S2 0.255 0.750 0.925
S3 0.388 0.250 0.650
```

Calculated values
Calculated volume = 246.19 Å³ per cell
Offset from the most stable computed form = 0.000 eV per atom
Energy = -0.1778 Ha/atom


[2]
A geometry-optimized Ta2ZnN structure. Source: OQMD, functional PBE-GGA.

Geometry as CIF:
```
data_Ta2ZnN
_chemical_formula_sum 'Ta4 Zn2 N2'
_cell_length_a 3.0839
_cell_length_b 3.0839
_cell_length_c 13.6855
_cell_angle_alpha 90.00
_cell_angle_beta 90.00
_cell_angle_gamma 120.00
_symmetry_space_group_name_H-M 'P 63/m m c'
_symmetry_Int_Tables_number 194
_symmetry_space_group_name_Hall '-P 6c 2c'
loop_
_atom_site_label
_atom_site_fract_x
_atom_site_fract_y
_atom_site_fract_z
Ta1 0.3333 0.6667 0.0895
Zn1 0.3333 0.6667 0.7500
N1 0.0000 0.0000 0.0000
```

Calculated values
Calculated volume = 112.71 Å³ per cell
Energy = -0.3239 Ha/atom


[3]
A geometry-optimized HfPbAu structure. Source: OQMD, functional PBE-GGA.

Geometry as CIF:
```
data_HfPbAu
_chemical_formula_sum 'Hf4 Pb4 Au4'
_cell_length_a 6.365
_cell_length_b 4.776
_cell_length_c 8.743
_cell_angle_alpha 90.00
_cell_angle_beta 90.00
_cell_angle_gamma 90.00
_symmetry_space_group_name_H-M 'P n m a'
_symmetry_Int_Tables_number 62
_symmetry_space_group_name_Hall '-P 2ac 2n'
loop_
_atom_site_label
_atom_site_fract_x
_atom_site_fract_y
_atom_site_fract_z
Hf1 0.033 0.250 0.221
Pb1 0.180 0.250 0.565
Au1 0.162 0.250 0.897
```

Calculated values
Calculated volume = 265.79 Å³ per cell
Energy = -0.2092 Ha/atom


[4]
A geometry-optimized CdPPbO structure. Source: OQMD, functional PBE-GGA.

Geometry as CIF:
```
data_CdPPbO
_chemical_formula_sum 'Cd2 P2 Pb2 O2'
_cell_length_a 4.115
_cell_length_b 4.115
_cell_length_c 9.670
_cell_angle_alpha 90.00
_cell_angle_beta 90.00
_cell_angle_gamma 90.00
_symmetry_space_group_name_H-M 'P 4/n m m'
_symmetry_Int_Tables_number 129
loop_
_symmetry_equiv_pos_as_xyz
'x,y,z'
'-x,-y,-z'
'-y+1/2,x,z'
'y+1/2,-x,-z'
'-x+1/2,-y+1/2,z'
'x+1/2,y+1/2,-z'
'y,-x+1/2,z'
'-y,x+1/2,-z'
'x+1/2,-y,-z'
'-x+1/2,y,z'
'-y,-x,-z'
'y,x,z'
'-x,y+1/2,-z'
'x,-y+1/2,z'
'y+1/2,x+1/2,-z'
'-y+1/2,-x+1/2,z'
loop_
_atom_site_label
_atom_site_fract_x
_atom_site_fract_y
_atom_site_fract_z
Cd1 0.250 0.750 0.000
P1 0.250 0.250 0.175
Pb1 0.250 0.250 0.621
O1 0.250 0.750 0.500
```

Calculated values
Calculated volume = 163.76 Å³ per cell
Offset from the most stable computed form = 0.049 eV per atom
Energy = -0.1491 Ha/atom